Arrangement w

LiLa3 | GGA-PBEsol | relaxed

## Properties
- space group = Pmm2
- magnetic moment (μB/f.u.) = 0.000
- V (Å³/f.u.) = 122

Cell: 3.551 5.726 5.992 Å, 90.00 90.00 90.00°
Positions (direct):
La: 0.000 0.000 0.997
La: 0.500 0.500 0.867
La: 0.500 0.000 0.456
Li: 0.000 0.500 0.348

---

Arrangement x

LiLa3 | GGA-PBEsol | relaxed

## Properties
- space group = R-3m
- magnetic moment (μB/f.u.) = 0.001
- V (Å³/f.u.) = 126

Cell: 3.561 3.561 11.671 Å, 81.22 81.22 60.00°
Positions (direct):
La: 0.500 0.500 0.500
La: 0.749 0.749 0.753
La: 0.251 0.251 0.247
Li: 0.000 0.000 0.000

---

Most stable = arrangement x

---

Arrangement w

SrLiLa3MnO8 | GGA-PBEsol | relaxed

## Properties
- space group = Cmcm
- magnetic moment (μB/f.u.) = 3.000
- V (Å³/f.u.) = 178

Cell: 5.327 6.802 10.691 Å, 90.00 90.00 113.05°
Last column: magnetic moment on the atom in μB.
Positions (direct):
La: 0.637 0.274 0.001  0.02
La: 0.363 0.726 0.999  0.02
La: 0.135 0.270 0.750  0.01
La: 0.637 0.274 0.499  0.02
La: 0.865 0.730 0.250  0.01
La: 0.363 0.726 0.501  0.02
O: 0.338 0.676 0.750  -0.01
O: 0.819 0.637 0.484  0.01
O: 0.181 0.363 0.516  0.01
O: 0.744 0.999 0.628  0.05
O: 0.343 0.686 0.250  -0.01
O: 0.255 0.999 0.628  0.05
O: 0.657 0.314 0.750  -0.01
O: 0.256 0.001 0.372  0.05
O: 0.819 0.637 0.016  0.01
O: 0.745 0.001 0.128  0.05
O: 0.256 0.001 0.128  0.05
O: 0.255 0.999 0.872  0.05
O: 0.745 0.001 0.372  0.05
O: 0.744 0.999 0.872  0.05
O: 0.181 0.363 0.984  0.01
O: 0.662 0.324 0.250  -0.01
Sr: 0.141 0.282 0.250  0.01
Sr: 0.859 0.718 0.750  0.01
Mn: 0.503 0.005 0.250  2.60
Mn: 0.497 0.995 0.750  2.60
Li: 0.000 0.000 0.000  0.00
Li: 0.000 0.000 0.500  0.00

---

Arrangement x

SrLiLa3MnO8 | GGA-PBEsol | relaxed

## Properties
- space group = Amm2
- magnetic moment (μB/f.u.) = 3.000
- V (Å³/f.u.) = 178

Cell: 5.325 5.340 6.797 Å, 90.00 113.06 90.00°
Last column: magnetic moment on the atom in μB.
Positions (direct):
O: 0.679 0.500 0.359  0.01
O: 0.242 0.756 0.993  0.05
O: 0.752 0.756 0.993  0.05
O: 0.162 0.000 0.324  -0.01
O: 0.318 0.500 0.635  0.01
O: 0.842 0.000 0.684  -0.02
O: 0.242 0.244 0.993  0.05
O: 0.752 0.244 0.993  0.05
Mn: 0.000 0.000 0.000  2.60
La: 0.366 0.000 0.731  0.02
La: 0.860 0.500 0.721  0.02
La: 0.136 0.500 0.272  0.01
Li: 0.509 0.500 0.018  0.00
Sr: 0.641 0.000 0.282  0.00

---

Most stable = arrangement w

---

Arrangement w

LiLaMo | GGA-PBEsol | relaxed

## Properties
- space group = Fmm2
- magnetic moment (μB/f.u.) = 0.000
- V (Å³/f.u.) = 63

Cell: 3.052 3.052 7.511 Å, 97.17 97.17 112.68°
Positions (direct):
La: 0.979 0.979 0.959
Li: 0.687 0.687 0.374
Mo: 0.334 0.334 0.667

---

Arrangement x

LiLaMo | GGA-PBEsol | relaxed

## Properties
- space group = Imm2
- magnetic moment (μB/f.u.) = 0.000
- V (Å³/f.u.) = 58

Cell: 2.810 4.539 5.281 Å, 115.46 105.43 90.00°
Positions (direct):
La: 0.998 0.998 0.996
Li: 0.679 0.679 0.358
Mo: 0.323 0.323 0.646

---

Most stable = arrangement w